Record 1
The following is a PBE calculation of an optimized crystal structure of FeTcSb2, from Alexandria via LeMat-Bulk.

As for the crystal system: orthorhombic. The uncorrected formation energy is 0.16 eV per atom.

It has space group Amm2 (No. 38), with a = 4.422 Å, b = 3.389 Å, c = 9.816 Å, α = 90.00°, β = 90.00° and γ = 90.00°. Symmetry generates all atoms from Fe at (0.000, 0.000, 0.000), Tc at (0.500, 0.000, 0.147), Sb at (0.000, 0.000, 0.721) and Sb at (0.500, 0.000, 0.430).



Record 2
The following is a PBE calculation of an optimized crystal structure of CsSb, from Alexandria via LeMat-Bulk.

As for the crystal system: orthorhombic. The uncorrected formation energy is -0.03 eV per atom.

It has space group Pmmm (No. 47), with a = 3.378 Å, b = 5.128 Å, c = 5.160 Å, α = 90.00°, β = 90.00° and γ = 90.00°. Symmetry generates all atoms from Cs at (0.000, 0.000, 0.000) and Sb at (0.500, 0.500, 0.500).



Record 3
The following is a PBE calculation of an optimized crystal structure of NaAl2Ag2, from Alexandria via LeMat-Bulk.

Its energy of formation from the pure elements is 0.038 eV/atom. As for the crystal system: tetragonal.

It has space group I4/mmm (No. 139), with a = 4.692 Å, b = 4.692 Å, c = 9.878 Å, α = 90.00°, β = 90.00° and γ = 90.00°. Symmetry generates all atoms from Na at (0.000, 0.000, 0.000), Al at (0.000, 0.000, 0.368) and Ag at (0.000, 0.500, 0.250).



Record 4
The following is a PBE calculation of an optimized crystal structure of LiBi2IrAu, from Alexandria via LeMat-Bulk.

Its energy of formation from the pure elements is 0.266 eV/atom. As for the crystal system: tetragonal.

It has space group P4/mmm (No. 123), with a = 5.229 Å, b = 5.229 Å, c = 4.728 Å, α = 90.00°, β = 90.00° and γ = 90.00°. Symmetry generates all atoms from Li at (0.000, 0.000, 0.000), Bi at (0.000, 0.500, 0.500), Ir at (0.000, 0.000, 0.500) and Au at (0.500, 0.500, 0.000).



| no. | magnetic moment (μB per cell) |
| --- | --- |
| 1 | 5.57 |
| 2 | 0.00 |
| 3 | 0.00 |
| 4 | 0.00 |